1.
VASP calculation (GGA-PBE) on an optimized crystal structure of LuZr2Cu.

Summary:
ΔH_f (0 K): 332 meV per atom
DOS(E_F): 4.779 states/eV per cell
offset from the most stable computed form: 332 meV/atom

Unit cell a=3.115 b=3.115 c=10.854 alpha=81.75 beta=81.75 gamma=60.00
Fractional coordinates of all 4 atoms:
Lu  0.000  0.000  0.000
Cu  0.500  0.500  0.500
Zr  0.099  0.099  0.704
Zr  0.901  0.901  0.296

2.
VASP calculation (GGA-PBE) on an optimized crystal structure of LuZrCu2.

Summary:
ΔH_f (0 K): -180 meV per atom
DOS(E_F): 4.606 states/eV per cell
offset from the most stable computed form: 0 meV/atom

Unit cell a=3.323 b=3.323 c=6.712 alpha=90.00 beta=90.00 gamma=90.00
Fractional coordinates of all 4 atoms:
Cu  0.000  0.000  0.235
Cu  0.000  0.000  0.765
Lu  0.500  0.500  0.500
Zr  0.500  0.500  0.000

3.
VASP calculation (GGA-PBE) on an optimized crystal structure of Lu2ZrCu.

Summary:
ΔH_f (0 K): -124 meV per atom
DOS(E_F): 4.397 states/eV per cell
offset from the most stable computed form: 0 meV/atom

Unit cell a=3.324 b=3.324 c=8.207 alpha=90.00 beta=90.00 gamma=90.00
Fractional coordinates of all 4 atoms:
Lu  0.000  0.000  0.216
Lu  0.000  0.000  0.784
Cu  0.500  0.500  0.000
Zr  0.500  0.500  0.500

4.
VASP calculation (GGA-PBE) on an optimized crystal structure of Mg2Cu.

Summary:
ΔH_f (0 K): 127 meV per atom
DOS(E_F): 1.404 states/eV per cell

Unit cell a=3.063 b=3.063 c=7.119 alpha=90.00 beta=90.00 gamma=120.02
Fractional coordinates of all 3 atoms:
Mg  0.000  0.000  0.786
Mg  0.000  0.000  0.214
Cu  0.333  0.667  0.500

5.
VASP calculation (GGA-PBE) on an optimized crystal structure of MgCu.

Summary:
ΔH_f (0 K): -39 meV per atom
DOS(E_F): 5.665 states/eV per cell

Unit cell a=8.947 b=4.505 c=5.263 alpha=90.00 beta=90.00 gamma=90.00
Fractional coordinates of all 12 atoms:
Cu  0.750  0.000  0.250
Cu  0.500  0.006  0.000
Cu  0.000  0.994  0.500
Cu  0.250  0.000  0.250
Cu  0.750  0.000  0.750
Cu  0.250  0.000  0.750
Mg  0.668  0.502  0.000
Mg  0.832  0.498  0.500
Mg  0.000  0.877  0.000
Mg  0.168  0.498  0.500
Mg  0.500  0.123  0.500
Mg  0.332  0.502  0.000

6.
VASP calculation (GGA-PBE) on an optimized crystal structure of Mg2Cu.

Summary:
ΔH_f (0 K): 152 meV per atom
DOS(E_F): 3.052 states/eV per cell

Unit cell a=6.603 b=6.603 c=3.027 alpha=90.00 beta=90.00 gamma=90.00
Fractional coordinates of all 6 atoms:
Mg  0.228  0.228  0.000
Mg  0.272  0.728  0.500
Mg  0.728  0.272  0.500
Mg  0.772  0.772  0.000
Cu  0.500  0.500  0.000
Cu  0.000  0.000  0.500

7.
VASP calculation (GGA-PBE) on an optimized crystal structure of MgCu.

Summary:
ΔH_f (0 K): -99 meV per atom
DOS(E_F): 0.644 states/eV per cell

Unit cell a=3.155 b=3.155 c=3.149 alpha=90.00 beta=90.00 gamma=90.00
Fractional coordinates of all 2 atoms:
Mg  0.000  0.000  0.000
Cu  0.500  0.500  0.500

8.
VASP calculation (GGA-PBE) on an optimized crystal structure of Mg2Cu.

Summary:
ΔH_f (0 K): -110 meV per atom
DOS(E_F): 2.349 states/eV per cell

Unit cell a=8.466 b=8.466 c=8.466 alpha=60.00 beta=60.00 gamma=60.00
Fractional coordinates of all 24 atoms:
Cu  0.291  0.628  0.291
Cu  0.709  0.372  0.709
Cu  0.628  0.291  0.291
Cu  0.372  0.709  0.709
Cu  0.291  0.291  0.291
Cu  0.291  0.291  0.628
Cu  0.709  0.709  0.709
Cu  0.709  0.709  0.372
Mg  0.067  0.683  0.683
Mg  0.317  0.317  0.933
Mg  0.317  0.933  0.933
Mg  0.683  0.067  0.683
Mg  0.067  0.683  0.067
Mg  0.500  0.000  0.500
Mg  0.317  0.933  0.317
Mg  0.933  0.317  0.317
Mg  0.067  0.067  0.683
Mg  0.500  0.500  0.500
Mg  0.500  0.500  0.000
Mg  0.683  0.067  0.067
Mg  0.933  0.933  0.317
Mg  0.000  0.500  0.500
Mg  0.683  0.683  0.067
Mg  0.933  0.317  0.933